[1]
DFT (PBE) results for Ti6VSn after structural relaxation.

Output
Spin magnetization = 0.00 μB/f.u.
Energy of formation from the pure elements = 1.519 eV/f.u.
Crystal system = monoclinic
Distance to the lowest polymorph of the same formula = 0.2521 eV/atom
Energy = -59.0 eV per cell

Cell: 4.760 4.760 7.383 Å, 76.98 76.98 72.63°
Atoms (fractional coordinates):
Ti1 0.062 0.556 0.280
Ti2 0.444 0.938 0.720
Ti3 0.556 0.062 0.280
Ti4 0.633 0.633 0.066
Ti5 0.367 0.367 0.934
Ti6 0.938 0.444 0.720
V1 0.000 0.000 0.000
Sn1 0.500 0.500 0.500


[2]
DFT (PBE) results for In2Sb after structural relaxation.

Output
Energy relative to the elements, uncorrected = 4.5 kJ/mol of atoms
Spin magnetization = 0.00 μB/f.u.
Crystal system = orthorhombic
Energy = -18.9 eV per cell

Cell: 4.529 6.049 7.373 Å, 90.00 90.00 90.00°
Atoms (fractional coordinates):
In1 0.000 0.803 0.382
In2 0.500 0.303 0.118
In3 0.500 0.697 0.882
In4 0.000 0.197 0.618
Sb1 0.000 0.000 0.000
Sb2 0.500 0.500 0.500


Please write out number 2 again, unchanged.
DFT (PBE) results for In2Sb after structural relaxation.

Output
Energy relative to the elements, uncorrected = 4.5 kJ/mol of atoms
Spin magnetization = 0.00 μB/f.u.
Crystal system = orthorhombic
Energy = -18.9 eV per cell

Cell: 4.529 6.049 7.373 Å, 90.00 90.00 90.00°
Atoms (fractional coordinates):
In1 0.000 0.803 0.382
In2 0.500 0.303 0.118
In3 0.500 0.697 0.882
In4 0.000 0.197 0.618
Sb1 0.000 0.000 0.000
Sb2 0.500 0.500 0.500